Record 1
NdDyIrPt, relaxed, DFT PBE; polymorph energy (0 for the lowest one) = 47 meV per atom; M_tot = 0.0 Bohr magnetons per cell; space group = F-43m, No. 216
1.0
-0.326 -0.184 -4.965
1.675 -3.992 -2.459
-3.218 -3.118 -2.170
Nd Pt Dy Ir
1 1 1 1
direct
0.500 0.500 0.500
0.750 0.750 0.750
0.000 0.000 0.000
0.250 0.250 0.250

=====

Record 2
Pa6Te12Rh, relaxed, DFT PBE; M_tot = 8.8 Bohr magnetons per cell; space group = R-3, No. 148; ΔE_f (raw) = -12.6 eV per formula unit
1.0
8.708 -0.177 -0.211
-1.495 8.581 -0.211
-1.495 -1.741 8.405
Pa Te Rh
6 12 1
direct
0.304 0.127 0.636
0.696 0.873 0.364
0.636 0.304 0.127
0.873 0.364 0.696
0.364 0.696 0.873
0.127 0.636 0.304
0.418 0.557 0.178
0.582 0.443 0.822
0.309 0.053 0.972
0.557 0.178 0.418
0.822 0.582 0.443
0.947 0.028 0.691
0.972 0.309 0.053
0.178 0.418 0.557
0.691 0.947 0.028
0.053 0.972 0.309
0.028 0.691 0.947
0.443 0.822 0.582
0.000 0.000 0.000

=====

Record 3
Pm6Ir2Br3Cl, relaxed, DFT PBE; M_tot = 0.0 Bohr magnetons per cell; space group = C2/m, No. 12; ΔE_f (raw) = -14.1 eV per formula unit
1.0
-5.523 3.677 -3.189
4.102 -4.641 -3.978
-4.260 -5.316 4.068
Pm Cl Br Ir
6 1 3 2
direct
0.566 0.932 0.799
0.299 0.299 0.802
0.068 0.434 0.201
0.701 0.701 0.198
0.932 0.566 0.799
0.434 0.068 0.201
0.000 0.000 0.000
0.500 0.500 0.500
0.840 0.160 0.500
0.160 0.840 0.500
0.667 0.333 0.000
0.333 0.667 0.000

=====

Record 4
BeTl2Os, relaxed, DFT PBE; polymorph energy (0 for the lowest one) = 580 meV per atom; M_tot = 0.0 Bohr magnetons per cell; space group = R-3m, No. 166
1.0
-3.166 7.940 0.283
-5.777 6.289 -0.478
-4.882 6.537 2.565
Tl Be Os
2 1 1
direct
0.504 0.504 0.504
0.996 0.996 0.996
0.250 0.250 0.250
0.750 0.750 0.750

=====

Record 5
SrMg2SnPd, relaxed, DFT PBE; E = -3.210 eV/atom; M_tot = 0.0 Bohr magnetons per cell; space group = P4/mmm, No. 123
1.0
5.075 0.000 0.000
0.000 5.075 0.000
0.000 0.000 5.217
Sr Sn Mg Pd
1 1 2 1
direct
0.500 0.500 0.500
0.000 0.000 0.500
0.000 0.500 0.000
0.500 0.000 0.000
0.000 0.000 0.000

=====

Record 6
Sc2InSe, relaxed, DFT PBE; polymorph energy (0 for the lowest one) = 222 meV per atom; M_tot = 0.0 Bohr magnetons per cell; space group = P4/mmm, No. 123; ΔE_f (raw) = -3.1 eV per formula unit
1.0
-3.438 0.775 -3.790
1.124 -3.045 -1.642
-3.523 -2.720 2.639
Se In Sc
1 1 2
direct
0.000 0.250 0.375
0.500 0.750 0.875
0.000 0.250 0.875
0.500 0.250 0.375

=====

Record 7
RbErAs2O8, relaxed, DFT PBE; M_tot = 2.0 Bohr magnetons per cell; space group = P-3, No. 147; ΔE_f (raw) = -19.3 eV per formula unit
1.0
5.827 0.000 0.000
-2.914 5.047 0.000
0.000 0.000 8.068
O Rb Er As
8 1 1 2
direct
0.830 0.655 0.331
0.170 0.345 0.669
0.333 0.667 0.949
0.175 0.830 0.669
0.345 0.175 0.331
0.655 0.825 0.669
0.825 0.170 0.331
0.667 0.333 0.051
0.000 0.000 0.000
0.000 0.000 0.500
0.333 0.667 0.734
0.667 0.333 0.266

=====

Record 8
Zr2TlCo, relaxed, DFT PBE; E = -6.584 eV/atom; M_tot = 1.1 Bohr magnetons per cell; space group = Cmmm, No. 65
1.0
-4.968 0.381 0.119
1.303 -3.179 3.611
0.246 2.538 2.145
Tl Co Zr
1 1 2
direct
0.000 0.500 0.500
0.500 0.000 0.500
0.000 0.000 0.000
0.500 0.500 0.000

=====

Record 9
InSi4Ru, relaxed, DFT PBE; M_tot = 0.0 Bohr magnetons per cell; space group = F-43m, No. 216; ΔE_f (raw) = 3.3 eV per formula unit
1.0
0.000 3.621 3.621
3.621 0.000 3.621
3.621 3.621 0.000
Si Ru In
4 1 1
direct
0.626 0.123 0.626
0.626 0.626 0.626
0.123 0.626 0.626
0.626 0.626 0.123
0.000 0.000 0.000
0.250 0.250 0.250

=====

Record 10
Pu2ZnSi2Ru5, relaxed, DFT PBE; M_tot = 16.8 Bohr magnetons per cell; space group = P4/mbm, No. 127; ΔE_f (raw) = -3.6 eV per formula unit
1.0
3.299 0.000 0.000
0.000 9.886 0.000
0.000 0.000 9.886
Ru Pu Si Zn
10 4 4 2
direct
0.500 0.933 0.207
0.500 0.707 0.433
0.500 0.207 0.067
0.500 0.433 0.293
0.500 0.067 0.793
0.500 0.793 0.933
0.500 0.000 0.500
0.500 0.500 0.000
0.500 0.567 0.707
0.500 0.293 0.567
0.000 0.673 0.173
0.000 0.827 0.673
0.000 0.327 0.827
0.000 0.173 0.327
0.000 0.872 0.372
0.000 0.372 0.128
0.000 0.128 0.628
0.000 0.628 0.872
0.000 0.000 0.000
0.000 0.500 0.500

=====

Record 11
RbMn2FePb, relaxed, DFT PBE; E = -5.087 eV/atom; M_tot = 5.7 Bohr magnetons per cell; space group = P4/mmm, No. 123
1.0
4.846 0.000 0.000
0.000 5.583 0.000
0.000 0.000 4.846
Mn Pb Fe Rb
2 1 1 1
direct
0.000 0.000 0.500
0.500 0.000 0.000
0.500 0.500 0.500
0.000 0.000 0.000
0.000 0.500 0.000

=====

Record 12
Y2HoAlS6, relaxed, DFT PBE; M_tot = 0.0 Bohr magnetons per cell; space group = R3, No. 146; ΔE_f (raw) = -17.5 eV per formula unit
1.0
6.722 0.000 0.000
3.361 5.821 0.000
3.361 1.941 5.927
S Al Ho Y
6 1 1 2
direct
0.959 0.582 0.249
0.429 0.686 0.770
0.210 0.959 0.249
0.686 0.114 0.771
0.114 0.429 0.770
0.582 0.210 0.248
0.321 0.321 0.038
0.817 0.817 0.550
0.021 0.021 0.938
0.523 0.523 0.431